[1]
Below is a relaxed Tb3Cd3Ga2Au crystal, with properties calculated at the PBE level.

```
Tb3Cd3Ga2Au
1.0
7.360 0.000 0.000
-3.680 6.374 0.000
0.000 0.000 4.357
Tb Cd Ga Au
3 3 2 1
Cartesian
-2.161 3.743 0.000
1.519 2.630 0.000
4.323 0.000 0.000
-0.935 1.620 2.179
1.870 0.000 2.179
2.745 4.754 2.179
0.000 4.249 2.179
3.680 2.125 2.179
0.000 0.000 0.000
```

=====

[2]
Below is a relaxed AlCoReIr crystal, with properties calculated at the PBE level.

ΔE to the lowest computed polymorph ... 0.00 eV per formula unit

```
AlCoReIr
1.0
0.000 3.013 3.013
3.013 0.000 3.013
3.013 3.013 0.000
Al Co Re Ir
1 1 1 1
Cartesian
0.000 0.000 0.000
1.506 1.506 1.506
3.013 3.013 3.013
4.519 4.519 4.519
```

=====

[3]
Below is a relaxed NaHoTe3Pt crystal, with properties calculated at the PBE level.

```
NaHoTe3Pt
1.0
2.075 -8.043 0.000
2.075 8.043 0.000
0.000 0.000 10.436
Na Ho Te Pt
2 2 6 2
Cartesian
2.075 4.224 7.827
2.075 -4.224 2.609
0.000 0.000 0.000
0.000 0.000 5.218
2.075 6.460 2.609
2.075 2.128 0.810
2.075 2.128 4.408
2.075 -2.128 6.028
2.075 -2.128 9.626
2.075 -6.460 7.827
2.075 0.163 2.609
2.075 -0.163 7.827
```

=====

Calculated energy (eV per cell), listed in the same order as above: -31.1, -32.4, -53.2